A plane-wave DFT calculation with PBE was carried out for a geometry-optimized Fe3Rh2 structure.

The structure belongs to space group R-3m (No. 166, hexagonal axes); the cell edges are 4.2019, 4.2019 and 12.9893 Å and the angles 90.00°, 90.00° and 120.00°. The inequivalent atoms are Fe at (0.0000, 0.0000, 0.0000), Fe at (0.0000, 0.0000, 0.1946) and Rh at (0.0000, 0.0000, 0.3965).

Its energy relative to the lowest polymorph listed for this composition is 28.6 meV per atom.

A plane-wave DFT calculation with PBE was carried out for a geometry-optimized Fe3Rh5 structure.

The structure belongs to space group P6_3/mcm (No. 193); the cell edges are 7.2310, 7.2310 and 5.0231 Å and the angles 90.00°, 90.00° and 120.00°. The inequivalent atoms are Fe at (0.0000, 0.4061, 0.2500), Rh at (0.0000, 0.2353, 0.7500) and Rh at (0.3333, 0.6667, 0.0000).

A plane-wave DFT calculation with PBE was carried out for a geometry-optimized Fe8Rh structure.

The structure belongs to space group I4/mmm (No. 139); the cell edges are 7.5535, 7.5535 and 3.5755 Å and the angles 90.00°, 90.00° and 90.00°. The inequivalent atoms are Fe at (0.0000, 0.3395, 0.0000), Fe at (0.1716, 0.1716, 0.5000) and Rh at (0.0000, 0.0000, 0.0000).

A plane-wave DFT calculation with PBE was carried out for a geometry-optimized FeRh3 structure.

The structure belongs to space group P4/mmm (No. 123); the cell edges are 2.7105, 2.7105 and 7.4461 Å and the angles 90.00°, 90.00° and 90.00°. The inequivalent atoms are Fe at (0.0000, 0.0000, 0.0000), Rh at (0.0000, 0.0000, 0.5000) and Rh at (0.5000, 0.5000, 0.2407).

A plane-wave DFT calculation with PBE was carried out for a geometry-optimized FeRh structure.

The structure belongs to space group Cm (No. 8); the cell edges are 8.4780, 3.6884 and 5.3608 Å and the angles 90.00°, 108.08° and 90.00°. The inequivalent atoms are Fe at (0.0000, 0.0000, 0.0000), Fe at (0.0039, 0.0000, 0.4981), Fe at (0.3336, 0.0000, 0.1663), Rh at (0.1639, 0.5000, 0.3292), Rh at (0.1695, 0.5000, 0.8371) and Rh at (0.3408, 0.0000, 0.6684).

A plane-wave DFT calculation with PBE was carried out for a geometry-optimized FeRh3 structure.

The structure belongs to space group C2/m (No. 12); the cell edges are 8.9429, 2.7054 and 4.6459 Å and the angles 90.00°, 100.97° and 90.00°. The inequivalent atoms are Fe at (0.0000, 0.0000, 0.0000), Rh at (0.0000, 0.5000, 0.5000) and Rh at (0.2470, 0.5000, 0.2460).

| no. | DOS at the Fermi energy (states/eV/f.u.) | ΔH_f (0 K) (eV per atom) | VASP energy (eV per atom) |
| --- | --- | --- | --- |
| 1 | 4.0 | -0.011 | -8.0292 |
| 2 | 9.2 | 0.167 | -7.6013 |
| 3 | 13.6 | 0.111 | -8.2279 |
| 4 | 5.5 | -0.007 | -7.6363 |
| 5 | 2.9 | 0.018 | -7.8886 |
| 6 | 5.5 | -0.005 | -7.6340 |